A plane-wave DFT calculation with PBE-GGA was carried out for a geometry-optimized ReTc2Mo structure.

Size of the total moment   0.00 μB/cell
SG   No. 71
N(E_F)   4.24 states/eV/cell
ρ   13.13 g cm⁻³
Calculated formation energy   169 meV/atom

Cell and atoms, written as POSCAR:
```
ReTc2Mo
1.0
5.158 -0.007 -0.001
2.327 4.603 0.001
-3.263 -3.080 2.545
Mo Re Tc
1 1 2
Direct
0.750 0.250 0.500 Mo
0.250 0.750 0.500 Re
0.988 0.988 0.000 Tc
0.512 0.512 0.000 Tc
```

---

A plane-wave DFT calculation with PBE-GGA was carried out for a geometry-optimized Re2TcMo structure.

Size of the total moment   0.00 μB/cell
SG   No. 8
N(E_F)   3.67 states/eV/cell
ρ   15.50 g cm⁻³
Calculated formation energy   117 meV/atom

Cell and atoms, written as POSCAR:
```
Re2TcMo
1.0
-2.874 -1.329 -3.622
-0.468 -2.676 -3.970
-1.935 -3.956 1.936
Mo Re Tc
1 2 1
Direct
0.250 0.250 0.252 Mo
0.005 0.005 0.994 Re
0.750 0.750 0.750 Re
0.495 0.495 0.504 Tc
```

---

A plane-wave DFT calculation with PBE-GGA was carried out for a geometry-optimized ReTcMo2 structure.

Size of the total moment   0.00 μB/cell
SG   No. 35
N(E_F)   4.25 states/eV/cell
ρ   12.85 g cm⁻³
Calculated formation energy   125 meV/atom

Cell and atoms, written as POSCAR:
```
ReTcMo2
1.0
-0.876 2.559 -0.141
-1.485 -1.353 1.817
5.717 2.309 6.390
Mo Re Tc
2 1 1
Direct
0.000 0.000 0.997 Mo
0.500 0.500 0.252 Mo
0.000 0.000 0.502 Re
0.500 0.500 0.749 Tc
```

---

A plane-wave DFT calculation with PBE-GGA was carried out for a geometry-optimized ReTcMo2 structure.

Size of the total moment   0.00 μB/cell
SG   No. 216
N(E_F)   4.64 states/eV/cell
ρ   12.86 g cm⁻³
Calculated formation energy   109 meV/atom

Cell and atoms, written as POSCAR:
```
ReTcMo2
1.0
4.430 0.000 0.000
2.215 3.836 0.000
2.215 1.279 3.617
Mo Re Tc
2 1 1
Direct
0.000 0.000 0.000 Mo
0.750 0.750 0.750 Mo
0.500 0.500 0.500 Re
0.250 0.250 0.250 Tc
```

---

Repeat the fourth record exactly.
A plane-wave DFT calculation with PBE-GGA was carried out for a geometry-optimized ReTcMo2 structure.

Size of the total moment   0.00 μB/cell
SG   No. 216
N(E_F)   4.64 states/eV/cell
ρ   12.86 g cm⁻³
Calculated formation energy   109 meV/atom

Cell and atoms, written as POSCAR:
```
ReTcMo2
1.0
4.430 0.000 0.000
2.215 3.836 0.000
2.215 1.279 3.617
Mo Re Tc
2 1 1
Direct
0.000 0.000 0.000 Mo
0.750 0.750 0.750 Mo
0.500 0.500 0.500 Re
0.250 0.250 0.250 Tc
```